Density functional theory data (GGA+U) for an optimized crystal structure of Cs2TiFeF6.

POSCAR file:
```
Cs2TiFeF6
1.0
6.079 0.000 0.000
0.000 6.079 0.000
3.039 3.039 4.736
F Cs Fe Ti
6 2 1 1
Direct
0.295 0.295 0.410 F
0.261 0.261 0.000 F
0.739 0.739 0.000 F
0.739 0.261 0.000 F
0.261 0.739 0.000 F
0.705 0.705 0.590 F
0.750 0.250 0.500 Cs
0.250 0.750 0.500 Cs
0.000 0.000 0.000 Fe
0.500 0.500 0.000 Ti
```

## Properties
Volume, Å³/cell: 175.0
Total moment, μB per formula unit: 3.9
E, eV per atom: -5.28